VASP calculation (PBE) on a geometry-optimized Rb5AlIn6 structure. Values from VASP.

```
&SYSTEM
  ibrav = 0, nat = 12, ntyp = 3
/
ATOMIC_SPECIES
Rb 85.47 Rb.upf
In 114.82 In.upf
Al 26.98 Al.upf
ATOMIC_POSITIONS angstrom
Rb 5.225 0.952 6.899
Rb 5.931 3.210 2.772
Rb 1.066 1.919 4.051
Rb 6.799 4.497 7.980
Rb 1.953 3.270 9.143
In 3.100 -0.553 10.066
In 8.924 6.002 4.813
In 1.892 -0.344 7.222
In 10.132 5.793 7.657
In 3.879 4.521 5.890
In 8.144 0.928 8.989
Al 0.000 0.000 0.000
CELL_PARAMETERS angstrom
9.005 0.261 1.685
2.858 6.160 3.860
0.161 -0.971 9.334
```

Computed properties:
SG = C2/m, No. 12
V = 44.866 A^3/atom
crystal system = monoclinic
ΔH_f (0 K) = -0.044 eV/atom

---

VASP calculation (PBE) on a geometry-optimized Ac2Cd3AgGe4 structure. Values from VASP.

```
&SYSTEM
  ibrav = 0, nat = 10, ntyp = 4
/
ATOMIC_SPECIES
Ge 72.64 Ge.upf
Cd 112.41 Cd.upf
Ag 107.87 Ag.upf
Ac 227.00 Ac.upf
ATOMIC_POSITIONS angstrom
Ge -0.939 -3.149 0.509
Ge -3.291 0.289 6.575
Ge 0.375 -1.141 4.494
Ge 0.000 0.000 0.000
Cd 0.846 -1.688 1.979
Cd -3.762 0.836 9.091
Cd -0.989 1.148 5.280
Ag -1.927 -2.001 5.789
Ac -2.523 -0.603 2.477
Ac -0.392 -0.249 8.593
CELL_PARAMETERS angstrom
-4.072 -2.338 -0.254
2.195 -3.960 1.272
-1.977 2.297 10.560
```

Computed properties:
SG = P-4m2, No. 115
V = 24.293 A^3/atom
crystal system = tetragonal
ΔH_f (0 K) = -0.336 eV/atom

---

VASP calculation (PBE) on a geometry-optimized ThNpSc2O8 structure. Values from VASP.

```
&SYSTEM
  ibrav = 0, nat = 12, ntyp = 4
/
ATOMIC_SPECIES
Sc 44.96 Sc.upf
O 16.00 O.upf
Np 237.00 Np.upf
Th 232.04 Th.upf
ATOMIC_POSITIONS angstrom
Sc 2.486 2.467 5.195
Sc 2.484 2.463 1.815
O 1.597 1.583 3.507
O 3.527 3.500 7.013
O 3.960 0.979 5.405
O 3.373 3.346 3.504
O 1.009 3.950 1.606
O 1.012 3.954 5.403
O 1.443 1.429 -0.002
O 3.958 0.975 1.607
Np 0.000 0.000 0.000
Th 0.002 0.004 3.509
CELL_PARAMETERS angstrom
4.917 0.004 -0.003
0.049 4.917 -0.005
0.004 0.008 7.019
```

Computed properties:
SG = Cmmm, No. 65
V = 14.142 A^3/atom
crystal system = orthorhombic
formation energy (no corrections) = -39.42 eV per formula unit